1.
A geometry-optimized La2FeIrC structure. Source: Alexandria via LeMat-Bulk, functional PBE-GGA.

Cell: 5.2512 5.2512 3.6546 Å, 90.00 90.00 90.00°
Fractional positions:
La: 0.0000 0.5000 0.0000
La: 0.5000 0.0000 0.0000
Fe: 0.0000 0.0000 0.5000
Ir: 0.5000 0.5000 0.5000
C: 0.0000 0.0000 0.0000

Summary:
The value obtained for the calculated volume is 100.78 Å³ per cell. The calculation puts the density of states at the Fermi level at 0.877 states/eV per atom. The energy above the most stable polymorph in this dataset comes out at 0 meV/atom. As for the crystal system: tetragonal.



2.
A geometry-optimized Ti5VPd4 structure. Source: Alexandria via LeMat-Bulk, functional PBE-GGA.

Cell: 2.9165 2.9165 18.3391 Å, 90.00 90.00 90.00°
Fractional positions:
Ti: 0.0000 0.0000 0.0000
Ti: 0.0000 0.0000 0.2050
Ti: 0.0000 0.0000 0.4083
Ti: 0.0000 0.0000 0.5917
Ti: 0.0000 0.0000 0.7950
V: 0.5000 0.5000 0.5000
Pd: 0.5000 0.5000 0.1016
Pd: 0.5000 0.5000 0.3084
Pd: 0.5000 0.5000 0.6916
Pd: 0.5000 0.5000 0.8984

Summary:
The value obtained for the raw total energy is -7.365 eV/atom. The value obtained for the calculated volume is 155.99 Å³ per cell. The calculation puts the density of states at the Fermi level at 1.022 states/eV per atom. As for the crystal system: tetragonal.



3.
A geometry-optimized AcTlTe structure. Source: Alexandria via LeMat-Bulk, functional PBE-GGA.

Cell: 4.9810 4.9810 11.8860 Å, 91.68 91.68 60.07°
Fractional positions:
Ac: 0.0100 0.0100 0.2180
Ac: 0.9900 0.9900 0.7820
Tl: 0.3349 0.3349 0.0363
Tl: 0.6651 0.6651 0.9637
Te: 0.3177 0.3177 0.6570
Te: 0.6823 0.6823 0.3430

Summary:
The energy relative to the elements, uncorrected comes out at -0.7775 eV/atom. The value obtained for the calculated volume is 255.42 Å³ per cell. The calculation puts the density of states at the Fermi level at 0.315 states/eV per atom. The energy above the most stable polymorph in this dataset comes out at 0 meV/atom. As for the crystal system: monoclinic.



4.
A geometry-optimized TaSb2TePb structure. Source: Alexandria via LeMat-Bulk, functional PBE-GGA.

Cell: 5.4592 5.4592 5.3568 Å, 90.00 90.00 90.00°
Fractional positions:
Ta: 0.0000 0.0000 0.0000
Sb: 0.0000 0.5000 0.0000
Sb: 0.5000 0.0000 0.0000
Te: 0.0000 0.0000 0.5000
Pb: 0.5000 0.5000 0.5000

Summary:
The energy relative to the elements, uncorrected comes out at 0.3370 eV/atom. The value obtained for the calculated volume is 159.65 Å³ per cell. The calculation puts the density of states at the Fermi level at 0.629 states/eV per atom. The energy above the most stable polymorph in this dataset comes out at 0 meV/atom. As for the crystal system: tetragonal.



5.
A geometry-optimized CdIn2Re structure. Source: Alexandria via LeMat-Bulk, functional PBE-GGA.

Cell: 2.9503 5.0909 5.4185 Å, 90.00 90.00 90.00°
Fractional positions:
Cd: 0.0000 0.0000 0.0000
In: 0.0000 0.5000 0.5000
In: 0.5000 0.5000 0.0000
Re: 0.5000 0.0000 0.5000

Summary:
The value obtained for the raw total energy is -4.078 eV/atom. The value obtained for the calculated volume is 81.38 Å³ per cell. The calculation puts the density of states at the Fermi level at 0.492 states/eV per atom. As for the crystal system: orthorhombic.



6.
A geometry-optimized TmTcO4F structure. Source: Alexandria via LeMat-Bulk, functional PBE-GGA.

Cell: 5.9117 5.9117 6.8992 Å, 102.92 102.92 73.39°
Fractional positions:
Tm: 0.1988 0.1988 0.0884
Tm: 0.8012 0.8012 0.9116
Tc: 0.3530 0.3530 0.7052
Tc: 0.6470 0.6470 0.2948
O: 0.1071 0.4756 0.8502
O: 0.2495 0.2495 0.4535
O: 0.4552 0.4552 0.2342
O: 0.4756 0.1071 0.8502
O: 0.5244 0.8929 0.1498
O: 0.5448 0.5448 0.7658
O: 0.7505 0.7505 0.5465
O: 0.8929 0.5244 0.1498
F: 0.0098 0.0098 0.8269
F: 0.9902 0.9902 0.1731

Summary:
The energy relative to the elements, uncorrected comes out at -2.4154 eV/atom. The value obtained for the calculated volume is 221.88 Å³ per cell. The calculation puts the density of states at the Fermi level at 0.410 states/eV per atom. As for the crystal system: monoclinic.